(1)
Below is a relaxed structure of ScBe3Bi, with properties calculated at the GGA-PBEsol level.

Lattice parameters (Å, degrees): 4.6965 4.6965 4.6965 90.00 90.00 90.00
Space group Pm-3m (No. 221)
One atom of each set of equivalent atoms:
Sc 0.0000 0.0000 0.0000 x1
Be 0.0000 0.5000 0.5000 x3
Bi 0.5000 0.5000 0.5000 x1

Results
Fermi-level density of states   3.0 states/eV per cell
Uncorrected energy   -0.242 Ry/atom
Crystal system   cubic

(2)
Below is a relaxed structure of MgTl2Te, with properties calculated at the GGA-PBEsol level.

Lattice parameters (Å, degrees): 4.1364 4.2988 12.7657 90.00 90.00 90.00
Space group Immm (No. 71)
One atom of each set of equivalent atoms:
Mg 0.0000 0.0000 0.0000 x2
Tl 0.0000 0.5000 0.2966 x4
Te 0.0000 0.0000 0.5000 x2

Results
Fermi-level density of states   3.7 states/eV per cell
Uncorrected energy   -0.208 Ry/atom
Crystal system   orthorhombic
Formation energy (no corrections)   -0.20 eV per atom

Look up the uncorrected energy of the first one.
-0.242 Ry/atom